1.
GaP3N: relaxed, PBE.

Cell and atoms, written as extended XYZ:
```
5
Lattice="4.1184 0.0000 0.0000 0.0000 4.1184 0.0000 0.0000 0.0000 4.1184" Properties=species:S:1:pos:R:3 pbc="T T T"
Ga 0.0000 0.0000 0.0000
P 0.0000 2.0592 2.0592
P 2.0592 0.0000 2.0592
P 2.0592 2.0592 0.0000
N 2.0592 2.0592 2.0592
```

Calculated values
* symmetry: Pm-3m
* E_tot: -4.638 eV per atom
* excess energy over the best structure of this formula in the dataset: 0 meV/atom
* raw formation energy: 4.39 eV/f.u.
* DOS(E_F): 0.54 states/eV per atom

2.
CePm3U2N6: relaxed, PBE.

Cell and atoms, written as extended XYZ:
```
12
Lattice="3.0608 -5.2935 0.0000 3.0608 5.2935 0.0000 -2.0419 0.0000 5.7703" Properties=species:S:1:pos:R:3 pbc="T T T"
Ce 0.0000 0.0000 0.0000
Pm 2.0399 3.5515 2.8851
Pm 2.0399 0.0000 2.8851
Pm 2.0399 -3.5515 2.8851
U 3.0608 1.7678 0.0000
U 3.0608 -1.7678 0.0000
N 1.0799 1.8692 1.2545
N 0.1216 0.0000 4.5356
N 1.0799 -1.8692 1.2545
N 2.9999 1.8692 4.5158
N 3.9582 0.0000 1.2347
N 2.9999 -1.8692 4.5158
```

Calculated values
* symmetry: C2/m
* E_tot: -9.184 eV per atom
* raw formation energy: -17.50 eV/f.u.
* DOS(E_F): 0.89 states/eV per atom

3.
CsS2: relaxed, PBE.

Cell and atoms, written as extended XYZ:
```
3
Lattice="-1.8528 1.8528 6.0468 1.8528 -1.8528 6.0468 1.8528 1.8528 -6.0468" Properties=species:S:1:pos:R:3 pbc="T T T"
Cs 0.0000 0.0000 0.0000
S 0.0000 0.0000 3.2124
S 0.0000 0.0000 8.8812
```

Calculated values
* symmetry: I4/mmm
* E_tot: -3.272 eV per atom
* excess energy over the best structure of this formula in the dataset: 432 meV/atom
* raw formation energy: -0.71 eV/f.u.
* DOS(E_F): 0.14 states/eV per atom

4.
CaLaZn: relaxed, PBE.

Cell and atoms, written as extended XYZ:
```
3
Lattice="5.2196 0.0000 0.0000 -2.6098 4.5203 0.0000 0.0000 0.0000 3.8425" Properties=species:S:1:pos:R:3 pbc="T T T"
Ca 0.0000 0.0000 0.0000
La 2.6098 1.5068 1.8194
Zn 0.0000 3.0135 3.2089
```

Calculated values
* ΔE_f: 0.00 eV/atom
* symmetry: P3m1
* E_tot: -2.738 eV per atom
* excess energy over the best structure of this formula in the dataset: 172 meV/atom
* DOS(E_F): 1.01 states/eV per atom

5.
NaGdCdAg: relaxed, PBE.

Cell and atoms, written as extended XYZ:
```
4
Lattice="0.0000 3.6700 3.6700 3.6700 0.0000 3.6700 3.6700 3.6700 0.0000" Properties=species:S:1:pos:R:3 pbc="T T T"
Na 0.0000 0.0000 0.0000
Gd 3.6700 3.6700 3.6700
Cd 1.8350 1.8350 1.8350
Ag 5.5050 5.5050 5.5050
```

Calculated values
* ΔE_f: -0.11 eV/atom
* symmetry: F-43m
* E_tot: -4.901 eV per atom
* DOS(E_F): 1.35 states/eV per atom

6.
AlC2: relaxed, PBE.

Cell and atoms, written as extended XYZ:
```
9
Lattice="6.1586 0.0000 0.0000 -3.0793 5.3335 0.0000 0.0000 0.0000 2.5272" Properties=species:S:1:pos:R:3 pbc="T T T"
Al 0.0000 0.0000 0.0000
Al 0.0000 3.5557 1.2636
Al 3.0793 1.7778 1.2636
C -0.8751 1.5157 1.2636
C -1.2675 2.1954 0.0000
C 1.7502 0.0000 1.2636
C 2.5350 0.0000 0.0000
C 1.8118 3.1381 0.0000
C 2.2042 3.8178 1.2636
```

Calculated values
* ΔE_f: 0.81 eV/atom
* symmetry: P-62m
* E_tot: -6.584 eV per atom
* excess energy over the best structure of this formula in the dataset: 526 meV/atom
* DOS(E_F): 0.61 states/eV per atom